# 1
DFT (PBE) results for crystalline Er4Sb2TeAs at its relaxed geometry.

raw formation energy = -1255 meV per atom

Cell lengths 4.2712, 7.4255, 7.4014 Å; angles 109.30, 90.00, 90.00 degrees
Closest atoms and distances in Å follow each position.
Fractional coordinates of all 8 atoms:
Er 0.5000 0.2347 0.2401  2 As 2.95, 3 Sb 2.99-3.10, 1 Te 3.06
Er 0.5000 0.7653 0.7599  2 As 2.95, 3 Sb 2.99-3.10, 1 Te 3.06
Er 0.0000 0.2370 0.7509  1 As 2.94, 3 Sb 2.99-3.11, 2 Te 3.07
Er 0.0000 0.7630 0.2491  1 As 2.94, 3 Sb 2.99-3.11, 2 Te 3.07
Sb 0.5000 0.0000 0.5000  6 Er 2.99
Sb 0.0000 0.5000 0.5000  6 Er 3.10-3.11
Te 0.5000 0.5000 0.0000  6 Er 3.06-3.07
As 0.0000 0.0000 0.0000  6 Er 2.94-2.95



# 2
DFT (PBE) results for crystalline YTlOs2Ru at its relaxed geometry.

ΔE_f = 2.71 eV/atom

Cell lengths 4.8562, 5.4632, 4.8562 Å; angles 90.00, 90.00, 90.00 degrees
Closest atoms and distances in Å follow each position.
Fractional coordinates of all 5 atoms:
Y 0.0000 0.0000 0.0000  4 Os 2.43
Ru 0.5000 0.5000 0.5000  4 Tl 3.43, 8 Os 3.65
Tl 0.0000 0.5000 0.0000  2 Y 2.73
Os 0.0000 0.0000 0.5000  2 Y 2.43
Os 0.5000 0.0000 0.0000  2 Y 2.43



# 3
DFT (PBE) results for crystalline Zn2PIr at its relaxed geometry.

ΔE_f = -0.01 eV/atom

Cell lengths 4.6004, 4.6004, 2.9435 Å; angles 90.00, 90.00, 113.88 degrees
Closest atoms and distances in Å follow each position.
Fractional coordinates of all 4 atoms:
Zn 0.5000 0.0000 0.0000  2 Zn 2.51, 4 Ir 2.73, 4 P 2.73
Zn 0.0000 0.5000 0.0000  2 Zn 2.51, 4 Ir 2.73, 4 P 2.73
P 0.5000 0.5000 0.5000  2 Ir 2.51, 8 Zn 2.73
Ir 0.0000 0.0000 0.5000  2 P 2.51, 8 Zn 2.73



# 4
DFT (PBE) results for crystalline SrZr2ReAu at its relaxed geometry.

ΔE_f = 2.42 eV/atom
energy above the most stable polymorph in this dataset = 0.136 eV/atom

Cell lengths 5.0903, 4.9229, 5.0903 Å; angles 90.00, 90.00, 90.00 degrees
Closest atoms and distances in Å follow each position.
Fractional coordinates of all 5 atoms:
Re 0.5000 0.5000 0.5000  8 Zr 3.54, 4 Au 3.60
Au 0.0000 0.5000 0.0000  2 Sr 2.46
Zr 0.0000 0.0000 0.5000  2 Sr 2.55
Zr 0.5000 0.0000 0.0000  2 Sr 2.55
Sr 0.0000 0.0000 0.0000  2 Au 2.46, 4 Zr 2.55



# 5
DFT (PBE) results for crystalline SrAsW2 at its relaxed geometry.

ΔE_f = 0.81 eV/atom

Cell lengths 5.8992, 5.8992, 5.8992 Å; angles 149.08, 122.27, 66.93 degrees
Closest atoms and distances in Å follow each position.
Fractional coordinates of all 4 atoms:
Sr 0.2608 0.7608 0.5000  2 As 3.12, 2 Sr 3.14, 8 W 3.25-3.43
As 0.5348 0.5348 0.0000  2 W 2.66
W 0.9515 0.9515 0.0000  2 W 2.51
W 0.7529 0.2529 0.5000  2 W 2.51, 2 As 2.66



# 6
DFT (PBE) results for crystalline CuRuPt2 at its relaxed geometry.

ΔE_f = -0.01 eV/atom
energy above the most stable polymorph in this dataset = 0.036 eV/atom

Cell lengths 2.7605, 2.7605, 8.9203 Å; angles 81.10, 81.10, 60.00 degrees
Closest atoms and distances in Å follow each position.
Fractional coordinates of all 4 atoms:
Cu 0.6670 0.6670 0.9990  6 Pt 2.68-2.69, 6 Cu 2.76
Ru 0.4997 0.4997 0.5009  6 Pt 2.73-2.75, 6 Ru 2.76
Pt 0.0820 0.0820 0.7540  3 Cu 2.68, 3 Ru 2.73, 6 Pt 2.76
Pt 0.2513 0.2513 0.2461  3 Cu 2.69, 3 Ru 2.75, 6 Pt 2.76



# 7
DFT (PBE) results for crystalline Ac4HgIrAu2 at its relaxed geometry.

ΔE_f = -0.66 eV/atom

Cell lengths 4.4013, 8.2297, 7.7616 Å; angles 107.92, 90.00, 90.00 degrees
Closest atoms and distances in Å follow each position.
Fractional coordinates of all 8 atoms:
Ac 0.5000 0.2789 0.2452  1 Ir 3.01, 2 Au 3.14, 2 Hg 3.32
Ac 0.5000 0.7211 0.7548  1 Ir 3.01, 2 Au 3.14, 2 Hg 3.32
Ac 0.0000 0.2783 0.7685  2 Ir 3.06, 3 Au 3.16-3.39, 1 Hg 3.32
Ac 0.0000 0.7217 0.2315  2 Ir 3.06, 3 Au 3.16-3.39, 1 Hg 3.32
Hg 0.0000 0.0000 0.0000  6 Ac 3.32
Ir 0.5000 0.5000 0.0000  6 Ac 3.01-3.06
Au 0.5000 0.0000 0.5000  6 Ac 3.39-3.46
Au 0.0000 0.5000 0.5000  6 Ac 3.14-3.16



# 8
DFT (PBE) results for crystalline GaTeI3 at its relaxed geometry.

energy above the most stable polymorph in this dataset = 0.000 eV/atom
raw formation energy = 3 meV per atom

Cell lengths 6.1399, 6.1399, 6.1399 Å; angles 90.00, 90.00, 90.00 degrees
Closest atoms and distances in Å follow each position.
Fractional coordinates of all 5 atoms:
I 0.0000 0.5000 0.0000  2 Te 3.07
I 0.0000 0.0000 0.5000  2 Te 3.07
I 0.5000 0.0000 0.0000  2 Te 3.07
Te 0.0000 0.0000 0.0000  6 I 3.07
Ga 0.5000 0.5000 0.5000  12 I 4.34



The M_tot results, record by record, are as follows: 0.00 3.61 0.00 0.00 0.00 0.00 0.00 0.00 μB/cell.
The DFT total energy results, record by record, are as follows: -5.541 -5.400 -4.212 -4.486 -7.247 -6.376 -4.682 -2.161 eV per atom.